Entry 1:
First-principles (GGA-PBE) data for a relaxed Sm3YGe2 crystal, as listed in Alexandria.

a = 9.0014 Å, b = 9.0014 Å, c = 9.4506 Å
α = 114.88°, β = 114.88°, γ = 28.20°
Closest atoms and distances in Å follow each position.
Element x y z (fractional)
Sm1 0.0463 0.0463 0.1954  3 Ge 2.98-3.33, 3 Sm 3.23-3.33
Sm2 0.3103 0.3103 0.6141  4 Ge 3.05-3.37, 4 Sm 3.15-3.23
Sm3 0.3454 0.3454 0.0228  4 Ge 3.07-3.22
Sm4 0.6546 0.6546 0.9772  4 Ge 3.07-3.22
Sm5 0.6897 0.6897 0.3859  4 Ge 3.05-3.37, 4 Sm 3.15-3.23
Sm6 0.9537 0.9537 0.8046  3 Ge 2.98-3.33, 3 Sm 3.23-3.33
Y1 0.1143 0.1143 0.6261  6 Ge 3.04-3.24
Y2 0.8857 0.8857 0.3739  6 Ge 3.04-3.24
Ge1 0.2430 0.2430 0.2218  7 Sm 3.05-3.37, 2 Y 3.16
Ge2 0.4957 0.4957 0.6357  1 Ge 2.63
Ge3 0.5043 0.5043 0.3643  1 Ge 2.63
Ge4 0.7570 0.7570 0.7782  7 Sm 3.05-3.37, 2 Y 3.16

Symmetry = C2/m, No. 12
Total energy = -5.55 eV/atom
DFT formation energy = -0.577 eV/atom



Entry 2:
First-principles (GGA-PBE) data for a relaxed Mg2AgGe crystal, as listed in Alexandria.

a = 3.3017 Å, b = 3.3017 Å, c = 6.9808 Å
α = 90.00°, β = 90.00°, γ = 90.00°
Closest atoms and distances in Å follow each position.
Element x y z (fractional)
Mg1 0.0000 0.0000 0.2423  4 Ag 2.88, 4 Ge 2.95
Mg2 0.0000 0.0000 0.7577  4 Ag 2.88, 4 Ge 2.95
Ag1 0.5000 0.5000 0.0000  8 Mg 2.88
Ge1 0.5000 0.5000 0.5000  8 Mg 2.95

Symmetry = P4/mmm, No. 123
Total energy = -2.82 eV/atom
DFT formation energy = -0.156 eV/atom



Entry 3:
First-principles (GGA-PBE) data for a relaxed BaZnHgCl6 crystal, as listed in Alexandria.

a = 6.7936 Å, b = 6.7936 Å, c = 6.6476 Å
α = 90.13°, β = 90.13°, γ = 120.27°
Closest atoms and distances in Å follow each position.
Element x y z (fractional)
Ba1 0.0000 0.0000 0.0000  6 Cl 3.12
Zn1 0.6659 0.3341 0.5000  6 Cl 2.49-2.51
Hg1 0.3336 0.6664 0.5000  6 Cl 2.69-2.71
Cl1 0.3813 0.0233 0.2791  1 Zn 2.49, 1 Hg 2.71
Cl2 0.3806 0.3572 0.7203  1 Zn 2.50, 1 Hg 2.71
Cl3 0.6419 0.0232 0.7205  1 Zn 2.51, 1 Hg 2.69
Cl4 0.6428 0.6194 0.2797  1 Zn 2.50, 1 Hg 2.71
Cl5 0.9768 0.3581 0.2795  1 Zn 2.51, 1 Hg 2.69
Cl6 0.9767 0.6187 0.7209  1 Zn 2.49, 1 Hg 2.71

Formation energy (no corrections) = -12.2 eV per formula unit
Symmetry = C2, No. 5
Total energy = -2.98 eV/atom



Entry 4:
First-principles (GGA-PBE) data for a relaxed PrPaPd6 crystal, as listed in Alexandria.

a = 5.6849 Å, b = 5.6849 Å, c = 5.6849 Å
α = 76.18°, β = 76.18°, γ = 76.18°
Closest atoms and distances in Å follow each position.
Element x y z (fractional)
Pr1 0.0000 0.0000 0.0000  6 Pd 3.13
Pa1 0.5000 0.5000 0.5000  6 Pd 2.60
Pd1 0.0289 0.6448 0.6448  1 Pa 2.60, 5 Pd 2.69-2.88
Pd2 0.3552 0.3552 0.9711  1 Pa 2.60, 5 Pd 2.69-2.88
Pd3 0.3552 0.9711 0.3552  1 Pa 2.60, 5 Pd 2.69-2.88
Pd4 0.6448 0.0289 0.6448  1 Pa 2.60, 5 Pd 2.69-2.88
Pd5 0.6448 0.6448 0.0289  1 Pa 2.60, 5 Pd 2.69-2.88
Pd6 0.9711 0.3552 0.3552  1 Pa 2.60, 5 Pd 2.69-2.88

Energy above the lowest structure with this stoichiometry = 333 meV per atom
Symmetry = R-3m, No. 166
Total energy = -6.14 eV/atom
DFT formation energy = -0.458 eV/atom



Question: Which value of total energy does entry 2 give?
Answer: -2.82 eV/atom



Question: Which value of total energy does entry 1 give?
Answer: -5.55 eV/atom



Question: total energy of number 3 (BaZnHgCl6)?
Answer: -2.98 eV/atom